A plane-wave DFT calculation with PBE+U was carried out for a relaxed MnCoPIrF crystal.

It has space group Cm (No. 8), with a = 12.3074 Å, b = 2.8935 Å, c = 4.2916 Å, α = 90.00°, β = 98.47° and γ = 90.00°. The asymmetric unit holds Mn at (0.0000, 0.0000, 0.0000), Co at (0.3011, 0.0000, 0.8470), P at (0.1868, 0.5000, 0.0797), Ir at (0.3435, 0.5000, 0.3957) and F at (0.0312, 0.0000, 0.5273).

The calculation puts the total magnetization at 6.6 μB/f.u. The calculation puts the energy above the most stable polymorph in this dataset at 0.304 eV/atom.